Run 1
Compound: LiYMg6O8
Source: Alexandria
Functional: PBE-GGA
Structure: relaxed

Cell: 4.362 4.362 8.829 Å, 90.00 90.00 90.00°
Fractional positions:
1 Mg 0.000 0.500 0.275
2 Li 0.000 0.000 0.500
3 Mg 0.500 0.000 0.725
4 O 0.000 0.000 0.747
5 Mg 0.500 0.500 0.500
6 Y 0.000 0.000 0.000
7 Mg 0.500 0.000 0.275
8 O 0.500 0.500 0.247
9 O 0.500 0.000 0.500
10 O 0.000 0.500 0.500
11 O 0.000 0.500 0.000
12 O 0.500 0.500 0.753
13 Mg 0.500 0.500 0.000
14 Mg 0.000 0.500 0.725
15 O 0.500 0.000 0.000
16 O 0.000 0.000 0.253

**Total moment**: 0.00 μB per formula unit
**Density of states at the Fermi level**: 0.0000 states/eV/atom

=====

Run 2
Compound: LiYMg6O8
Source: Alexandria
Functional: PBE-GGA
Structure: relaxed

Cell: 4.351 4.351 8.773 Å, 90.00 90.00 90.00°
Fractional positions:
1 O 0.000 0.000 0.261
2 O 0.000 0.500 0.500
3 Li 0.500 0.500 0.000
4 O 0.500 0.500 0.262
5 O 0.000 0.000 0.739
6 Mg 0.500 0.000 0.260
7 Mg 0.500 0.000 0.740
8 O 0.500 0.500 0.738
9 O 0.000 0.500 0.000
10 Mg 0.000 0.000 0.500
11 O 0.500 0.000 0.000
12 Mg 0.000 0.500 0.260
13 Mg 0.000 0.500 0.740
14 Mg 0.500 0.500 0.500
15 Y 0.000 0.000 0.000
16 O 0.500 0.000 0.500

**Total moment**: 0.00 μB per formula unit
**Density of states at the Fermi level**: 0.0000 states/eV/atom

=====

Most stable of them? run 2.

=====

Run 1
Compound: Li2MgZrO4
Source: Alexandria
Functional: PBE-GGA
Structure: relaxed

Cell: 6.161 6.161 6.350 Å, 121.03 121.03 88.15°
Fractional positions:
1 Li 0.500 0.000 0.000
2 O 0.766 0.266 0.516
3 Zr 0.000 0.500 0.500
4 O 0.756 0.744 0.518
5 O 0.244 0.256 0.482
6 Mg 0.000 0.000 0.000
7 O 0.766 0.266 0.016
8 O 0.244 0.256 0.018
9 Zr 0.000 0.500 0.000
10 Li 0.500 0.000 0.500
11 O 0.234 0.734 0.984
12 O 0.234 0.734 0.484
13 Mg 0.500 0.500 0.500
14 Li 0.500 0.500 0.000
15 Li 0.000 0.000 0.500
16 O 0.756 0.744 0.982

**Total moment**: 0.00 μB per formula unit
**Density of states at the Fermi level**: 0.0000 states/eV/atom

=====

Run 2
Compound: Li2MgZrO4
Source: Alexandria
Functional: PBE-GGA
Structure: relaxed

Cell: 5.451 5.451 5.451 Å, 134.03 134.03 67.04°
Fractional positions:
1 Li 0.500 0.500 0.000
2 O 0.486 0.986 0.500
3 Mg 0.250 0.750 0.500
4 O 0.769 0.769 0.000
5 Li 0.750 0.250 0.500
6 O 0.014 0.514 0.500
7 O 0.231 0.231 0.000
8 Zr 0.000 0.000 0.000

**Total moment**: 0.00 μB per formula unit
**Density of states at the Fermi level**: 0.0000 states/eV/atom

=====

Most stable of them? run 2.

=====

Run 1
Compound: LiMgOs
Source: Alexandria
Functional: PBE-GGA
Structure: relaxed

Cell: 4.486 4.486 2.569 Å, 90.00 90.00 120.00°
Fractional positions:
1 Li 0.000 0.000 0.026
2 Mg 0.667 0.333 0.269
3 Os 0.333 0.667 0.705

**Total moment**: 0.00 μB per formula unit
**Density of states at the Fermi level**: 0.9343 states/eV/atom

=====

Run 2
Compound: LiMgOs
Source: Alexandria
Functional: PBE-GGA
Structure: relaxed

Cell: 7.428 7.214 2.716 Å, 83.78 74.90 21.31°
Fractional positions:
1 Li 0.010 0.010 0.990
2 Mg 0.326 0.326 0.674
3 Os 0.664 0.664 0.336

**Total moment**: 0.00 μB per formula unit
**Density of states at the Fermi level**: 0.5107 states/eV/atom

=====

Most stable of them? run 1.

=====

Run 1
Compound: LiMgOs
Source: Alexandria
Functional: PBE-GGA
Structure: relaxed

Cell: 4.793 4.793 4.793 Å, 149.12 126.02 63.50°
Fractional positions:
1 Li 0.003 0.003 0.000
2 Os 0.668 0.668 0.000
3 Mg 0.329 0.329 0.000

**Total moment**: 0.00 μB per formula unit
**Density of states at the Fermi level**: 0.3353 states/eV/atom

=====

Run 2
Compound: LiMgOs
Source: Alexandria
Functional: PBE-GGA
Structure: relaxed

Cell: 2.909 2.909 12.051 Å, 90.00 90.00 90.00°
Fractional positions:
1 Mg 0.000 0.500 0.274
2 Os 0.500 0.000 0.434
3 Os 0.000 0.500 0.566
4 Li 0.500 0.000 0.085
5 Li 0.000 0.500 0.915
6 Mg 0.500 0.000 0.726

**Total moment**: 0.00 μB per formula unit
**Density of states at the Fermi level**: 0.8591 states/eV/atom

=====

Most stable of them? run 2.

=====

Run 1
Compound: LiMgOs
Source: Alexandria
Functional: PBE-GGA
Structure: relaxed

Cell: 6.995 6.995 6.995 Å, 157.96 157.96 31.37°
Fractional positions:
1 Mg 0.322 0.322 0.000
2 Li 0.013 0.013 0.000
3 Os 0.665 0.665 0.000

**Total moment**: 0.00 μB per formula unit
**Density of states at the Fermi level**: 0.8809 states/eV/atom

=====

Run 2
Compound: LiMgOs
Source: Alexandria
Functional: PBE-GGA
Structure: relaxed

Cell: 4.116 4.116 4.116 Å, 60.00 60.00 60.00°
Fractional positions:
1 Os 0.500 0.500 0.500
2 Mg 0.000 0.000 0.000
3 Li 0.250 0.250 0.250

**Total moment**: 1.16 μB per formula unit
**Density of states at the Fermi level**: 0.7543 states/eV/atom

=====

Most stable of them? run 1.

=====

Run 1
Compound: LiMgOs2Rh
Source: Alexandria
Functional: PBE-GGA
Structure: relaxed

Cell: 4.575 4.492 4.575 Å, 90.00 90.00 90.00°
Fractional positions:
1 Os 0.500 0.000 0.000
2 Mg 0.000 0.000 0.000
3 Os 0.000 0.000 0.500
4 Li 0.500 0.500 0.500
5 Rh 0.000 0.500 0.000

**Total moment**: 1.96 μB per formula unit
**Density of states at the Fermi level**: 1.4769 states/eV/atom

=====

Run 2
Compound: LiMgOs2Rh
Source: Alexandria
Functional: PBE-GGA
Structure: relaxed

Cell: 4.141 4.242 4.141 Å, 90.00 90.00 90.00°
Fractional positions:
1 Li 0.000 0.000 0.000
2 Os 0.500 0.000 0.000
3 Os 0.000 0.000 0.500
4 Mg 0.500 0.500 0.500
5 Rh 0.000 0.500 0.000

**Total moment**: 0.00 μB per formula unit
**Density of states at the Fermi level**: 1.3431 states/eV/atom

=====

Most stable of them? run 2.

=====

Run 1
Compound: LiMgOs2W
Source: Alexandria
Functional: PBE-GGA
Structure: relaxed

Cell: 4.580 3.628 4.580 Å, 90.00 90.00 90.00°
Fractional positions:
1 Os 0.000 0.000 0.500
2 Os 0.500 0.000 0.000
3 W 0.500 0.500 0.500
4 Mg 0.000 0.000 0.000
5 Li 0.000 0.500 0.000

**Total moment**: 0.00 μB per formula unit
**Density of states at the Fermi level**: 1.1854 states/eV/atom

=====

Run 2
Compound: LiMgOs2W
Source: Alexandria
Functional: PBE-GGA
Structure: relaxed

Cell: 4.723 5.177 4.723 Å, 90.00 90.00 90.00°
Fractional positions:
1 Os 0.500 0.000 0.000
2 Mg 0.000 0.500 0.000
3 W 0.000 0.000 0.000
4 Os 0.000 0.000 0.500
5 Li 0.500 0.500 0.500

**Total moment**: 0.00 μB per formula unit
**Density of states at the Fermi level**: 1.0557 states/eV/atom

=====

Most stable of them? run 2.

=====

Run 1
Compound: Li2MgP
Source: Alexandria
Functional: PBE-GGA
Structure: relaxed

Cell: 3.040 3.040 7.516 Å, 90.00 90.00 90.16°
Fractional positions:
1 Li 0.000 0.000 0.941
2 P 0.500 0.500 0.750
3 Li 0.000 0.000 0.559
4 Mg 0.500 0.500 0.250

**Total moment**: 0.00 μB per formula unit
**Density of states at the Fermi level**: 0.3792 states/eV/atom

=====

Run 2
Compound: Li2MgP
Source: Alexandria
Functional: PBE-GGA
Structure: relaxed

Cell: 4.786 4.786 4.786 Å, 130.23 130.23 73.05°
Fractional positions:
1 P 0.750 0.250 0.500
2 Mg 0.500 0.500 0.000
3 Li 0.250 0.750 0.500
4 Li 0.000 0.000 0.000

**Total moment**: 0.00 μB per formula unit
**Density of states at the Fermi level**: 0.4835 states/eV/atom

=====

Most stable of them? run 2.